The following is a DFT calculation (PBE) of crystalline Zr3SnHg2 at its relaxed geometry.

Values from the calculation:
Formation enthalpy at 0 K, eV/atom: -0.287
Volume, Å³/cell: 261.63
Total magnetization, μB per formula unit: 0.0

Lattice parameters (Å, degrees): 4.5160 13.4873 4.2954 90.00 90.00 90.00
Closest atoms and distances in Å follow each position.
Atoms (fractional coordinates):
Zr 0.0000 0.0000 0.0000  4 Sn 3.12, 4 Hg 3.13, 4 Zr 3.19
Zr 0.0000 0.3334 0.0000  6 Hg 3.09-3.12, 2 Sn 3.11, 4 Zr 3.19
Zr 0.0000 0.6666 0.0000  6 Hg 3.09-3.12, 2 Sn 3.11, 4 Zr 3.19
Zr 0.5000 0.1666 0.0000  6 Hg 3.09-3.12, 2 Sn 3.11, 4 Zr 3.19
Zr 0.5000 0.5000 0.0000  4 Sn 3.12, 4 Hg 3.13, 4 Zr 3.19
Zr 0.5000 0.8334 0.0000  6 Hg 3.09-3.12, 2 Sn 3.11, 4 Zr 3.19
Sn 0.0000 0.5000 0.5000  8 Zr 3.11-3.12, 4 Hg 3.21
Sn 0.5000 0.0000 0.5000  8 Zr 3.11-3.12, 4 Hg 3.21
Hg 0.0000 0.1690 0.5000  8 Zr 3.09-3.13, 2 Hg 3.14, 2 Sn 3.21
Hg 0.0000 0.8310 0.5000  8 Zr 3.09-3.13, 2 Hg 3.14, 2 Sn 3.21
Hg 0.5000 0.3310 0.5000  8 Zr 3.09-3.13, 2 Hg 3.14, 2 Sn 3.21
Hg 0.5000 0.6690 0.5000  8 Zr 3.09-3.13, 2 Hg 3.14, 2 Sn 3.21